Below is crystalline AcTb2Pu at its relaxed geometry, with properties calculated at the PBE-GGA level.

Summary:
Space-group type: R3m, No. 160
N(E_F) (states/eV/cell): 11.1
E (hartree per atom): -0.24854
Relative energy among the computed polymorphs (eV per atom): 0.017
Energy of formation (eV/atom): 0.1620
Total magnetic moment (μB/f.u.): 6.231

The structure in POSCAR format:
```
AcTb2Pu
1.0
1.8290 1.0560 11.7380
-1.8290 1.0560 11.7380
0.0000 -2.1120 11.7380
Ac Tb Pu
1 2 1
Cartesian
0.0000 0.0000 0.0000 Ac
0.0000 0.0000 8.6439 Tb
0.0000 0.0000 14.8790 Tb
0.0000 0.0000 29.3848 Pu
```